[1]
# PBE LaCrS2, optimized geometry
# - ΔE to the lowest computed polymorph: 1.83 eV per formula unit
# - ΔE_f (raw): -0.634 eV per atom
data_LaCrS2
_chemical_formula_sum 'La4 Cr4 S8'
_symmetry_space_group_name_H-M 'F m -3 m'
_symmetry_Int_Tables_number 225
_symmetry_space_group_name_Hall '-F 4 2 3'
_cell_length_a 6.638
_cell_length_b 6.638
_cell_length_c 6.638
_cell_angle_alpha 90.00
_cell_angle_beta 90.00
_cell_angle_gamma 90.00
loop_
_atom_site_label
_atom_site_fract_x
_atom_site_fract_y
_atom_site_fract_z
_atom_site_occupancy
La1 0.000 0.000 0.000 1
Cr1 0.000 0.000 0.500 1
S1 0.250 0.250 0.250 1

=====

[2]
# PBE La2ScCrS6, optimized geometry
# - ΔE_f (raw): -1.760 eV per atom
data_La2ScCrS6
_chemical_formula_sum 'La4 Sc2 Cr2 S12'
_symmetry_space_group_name_H-M 'P 1 21/c 1'
_symmetry_Int_Tables_number 14
_cell_length_a 6.471
_cell_length_b 7.063
_cell_length_c 11.369
_cell_angle_alpha 90.00
_cell_angle_beta 123.83
_cell_angle_gamma 90.00
loop_
_symmetry_equiv_pos_as_xyz
'x,y,z'
'-x,-y,-z'
'-x,y+1/2,-z+1/2'
'x,-y+1/2,z+1/2'
loop_
_atom_site_label
_atom_site_fract_x
_atom_site_fract_y
_atom_site_fract_z
_atom_site_occupancy
La1 0.214 0.094 0.248 1
Sc1 0.500 0.000 0.000 1
Cr1 0.000 0.000 0.500 1
S1 0.125 0.199 0.948 1
S2 0.258 0.685 0.949 1
S3 0.347 0.020 0.742 1

=====

[3]
# PBE La2CrTeS, optimized geometry
# - ΔE_f (raw): -0.862 eV per atom
data_La2CrTeS
_chemical_formula_sum 'La2 Cr1 Te1 S1'
_symmetry_space_group_name_H-M 'P 4/m m m'
_symmetry_Int_Tables_number 123
_symmetry_space_group_name_Hall '-P 4 2'
_cell_length_a 5.590
_cell_length_b 5.590
_cell_length_c 4.413
_cell_angle_alpha 90.00
_cell_angle_beta 90.00
_cell_angle_gamma 90.00
loop_
_atom_site_label
_atom_site_fract_x
_atom_site_fract_y
_atom_site_fract_z
_atom_site_occupancy
La1 0.000 0.500 0.000 1
Cr1 0.000 0.000 0.500 1
Te1 0.500 0.500 0.500 1
S1 0.000 0.000 0.000 1

=====

[4]
# PBE La2CrSb, optimized geometry
# - ΔE_f (raw): -0.121 eV per atom
data_La2CrSb
_chemical_formula_sum 'La6 Cr3 Sb3'
_symmetry_space_group_name_H-M 'R -3 m'
_symmetry_Int_Tables_number 166
_symmetry_space_group_name_Hall '-R 3 2"'
_cell_length_a 4.4011
_cell_length_b 4.4011
_cell_length_c 23.4259
_cell_angle_alpha 90.00
_cell_angle_beta 90.00
_cell_angle_gamma 120.00
loop_
_atom_site_label
_atom_site_fract_x
_atom_site_fract_y
_atom_site_fract_z
_atom_site_occupancy
La1 0.0000 0.0000 0.2501 1
Cr1 0.0000 0.0000 0.0000 1
Sb1 0.0000 0.0000 0.5000 1

=====

[5]
# PBE LaCrSb2, optimized geometry
# - ΔE_f (raw): 0.013 eV per atom
data_LaCrSb2
_chemical_formula_sum 'La4 Cr4 Sb8'
_symmetry_space_group_name_H-M 'F -4 3 m'
_symmetry_Int_Tables_number 216
_symmetry_space_group_name_Hall 'F -4 2 3'
_cell_length_a 7.515
_cell_length_b 7.515
_cell_length_c 7.515
_cell_angle_alpha 90.00
_cell_angle_beta 90.00
_cell_angle_gamma 90.00
loop_
_atom_site_label
_atom_site_fract_x
_atom_site_fract_y
_atom_site_fract_z
_atom_site_occupancy
La1 0.000 0.000 0.000 1
Cr1 0.250 0.250 0.750 1
Sb1 0.000 0.000 0.500 1
Sb2 0.250 0.250 0.250 1

=====

[6]
# PBE LaCrSb2, optimized geometry
# - ΔE_f (raw): -0.035 eV per atom
data_LaCrSb2
_chemical_formula_sum 'La4 Cr4 Sb8'
_symmetry_space_group_name_H-M 'I -4 2 d'
_symmetry_Int_Tables_number 122
_symmetry_space_group_name_Hall 'I -4 2bw'
_cell_length_a 5.384
_cell_length_b 5.384
_cell_length_c 17.688
_cell_angle_alpha 90.00
_cell_angle_beta 90.00
_cell_angle_gamma 90.00
loop_
_atom_site_label
_atom_site_fract_x
_atom_site_fract_y
_atom_site_fract_z
_atom_site_occupancy
La1 0.000 0.000 0.000 1
Cr1 0.000 0.000 0.500 1
Sb1 0.144 0.250 0.625 1

=====

[7]
# PBE LaCr2Sb, optimized geometry
# - ΔE_f (raw): 0.102 eV per atom
data_LaCr2Sb
_chemical_formula_sum 'La1 Cr2 Sb1'
_symmetry_space_group_name_H-M 'P 4 m m'
_symmetry_Int_Tables_number 99
_cell_length_a 3.373
_cell_length_b 3.373
_cell_length_c 7.550
_cell_angle_alpha 90.00
_cell_angle_beta 90.00
_cell_angle_gamma 90.00
loop_
_symmetry_equiv_pos_as_xyz
'x,y,z'
'-y,x,z'
'-x,-y,z'
'y,-x,z'
'-x,y,z'
'y,x,z'
'x,-y,z'
'-y,-x,z'
loop_
_atom_site_label
_atom_site_fract_x
_atom_site_fract_y
_atom_site_fract_z
_atom_site_occupancy
La1 0.000 0.000 0.000 1
Cr1 0.000 0.000 0.557 1
Cr2 0.500 0.500 0.691 1
Sb1 0.500 0.500 0.323 1

=====

[8]
# PBE La2CrSb, optimized geometry
# - ΔE_f (raw): -0.289 eV per atom
data_La2CrSb
_chemical_formula_sum 'La2 Cr1 Sb1'
_symmetry_space_group_name_H-M 'P 4/m m m'
_symmetry_Int_Tables_number 123
_symmetry_space_group_name_Hall '-P 4 2'
_cell_length_a 4.119
_cell_length_b 4.119
_cell_length_c 6.828
_cell_angle_alpha 90.00
_cell_angle_beta 90.00
_cell_angle_gamma 90.00
loop_
_atom_site_label
_atom_site_fract_x
_atom_site_fract_y
_atom_site_fract_z
_atom_site_occupancy
La1 0.000 0.000 0.248 1
Cr1 0.500 0.500 0.500 1
Sb1 0.500 0.500 0.000 1

=====

[9]
# PBE La2CrSb, optimized geometry
# - ΔE_f (raw): 0.160 eV per atom
data_La2CrSb
_chemical_formula_sum 'La8 Cr4 Sb4'
_symmetry_space_group_name_H-M 'I -4 2 d'
_symmetry_Int_Tables_number 122
_symmetry_space_group_name_Hall 'I -4 2bw'
_cell_length_a 8.350
_cell_length_b 8.350
_cell_length_c 5.981
_cell_angle_alpha 90.00
_cell_angle_beta 90.00
_cell_angle_gamma 90.00
loop_
_atom_site_label
_atom_site_fract_x
_atom_site_fract_y
_atom_site_fract_z
_atom_site_occupancy
La1 0.177 0.250 0.125 1
Cr1 0.000 0.000 0.000 1
Sb1 0.000 0.000 0.500 1

=====

[10]
# PBE LaCrSb2, optimized geometry
# - ΔE_f (raw): -0.292 eV per atom
data_LaCrSb2
_chemical_formula_sum 'La2 Cr2 Sb4'
_symmetry_space_group_name_H-M 'I m m 2'
_symmetry_Int_Tables_number 44
_cell_length_a 3.784
_cell_length_b 4.097
_cell_length_c 14.038
_cell_angle_alpha 90.00
_cell_angle_beta 90.00
_cell_angle_gamma 90.00
loop_
_symmetry_equiv_pos_as_xyz
'x,y,z'
'-x,-y,z'
'-x,y,z'
'x,-y,z'
'x+1/2,y+1/2,z+1/2'
'-x+1/2,-y+1/2,z+1/2'
'-x+1/2,y+1/2,z+1/2'
'x+1/2,-y+1/2,z+1/2'
loop_
_atom_site_label
_atom_site_fract_x
_atom_site_fract_y
_atom_site_fract_z
_atom_site_occupancy
La1 0.000 0.000 0.000 1
Cr1 0.000 0.500 0.257 1
Sb1 0.000 0.000 0.614 1
Sb2 0.000 0.500 0.820 1

=====

[11]
# PBE La3CrSb, optimized geometry
# - ΔE to the lowest computed polymorph: 0.00 eV per formula unit
# - ΔE_f (raw): -0.245 eV per atom
data_La3CrSb
_chemical_formula_sum 'La3 Cr1 Sb1'
_symmetry_space_group_name_H-M 'P m -3 m'
_symmetry_Int_Tables_number 221
_symmetry_space_group_name_Hall '-P 4 2 3'
_cell_length_a 5.254
_cell_length_b 5.254
_cell_length_c 5.254
_cell_angle_alpha 90.00
_cell_angle_beta 90.00
_cell_angle_gamma 90.00
loop_
_atom_site_label
_atom_site_fract_x
_atom_site_fract_y
_atom_site_fract_z
_atom_site_occupancy
La1 0.000 0.000 0.500 1
Cr1 0.000 0.000 0.000 1
Sb1 0.500 0.500 0.500 1

=====

[12]
# PBE LaCr2Sb, optimized geometry
# - ΔE_f (raw): 0.146 eV per atom
data_LaCr2Sb
_chemical_formula_sum 'La2 Cr4 Sb2'
_symmetry_space_group_name_H-M 'I m m 2'
_symmetry_Int_Tables_number 44
_cell_length_a 4.177
_cell_length_b 4.435
_cell_length_c 10.315
_cell_angle_alpha 90.00
_cell_angle_beta 90.00
_cell_angle_gamma 90.00
loop_
_symmetry_equiv_pos_as_xyz
'x,y,z'
'-x,-y,z'
'-x,y,z'
'x,-y,z'
'x+1/2,y+1/2,z+1/2'
'-x+1/2,-y+1/2,z+1/2'
'-x+1/2,y+1/2,z+1/2'
'x+1/2,-y+1/2,z+1/2'
loop_
_atom_site_label
_atom_site_fract_x
_atom_site_fract_y
_atom_site_fract_z
_atom_site_occupancy
La1 0.000 0.000 0.000 1
Cr1 0.000 0.000 0.596 1
Cr2 0.000 0.500 0.239 1
Sb1 0.000 0.500 0.759 1

=====

[13]
# PBE LaCrSb2, optimized geometry
# - ΔE_f (raw): -0.211 eV per atom
data_LaCrSb2
_chemical_formula_sum 'La1 Cr1 Sb2'
_symmetry_space_group_name_H-M 'P 4 m m'
_symmetry_Int_Tables_number 99
_cell_length_a 4.233
_cell_length_b 4.233
_cell_length_c 6.411
_cell_angle_alpha 90.00
_cell_angle_beta 90.00
_cell_angle_gamma 90.00
loop_
_symmetry_equiv_pos_as_xyz
'x,y,z'
'-y,x,z'
'-x,-y,z'
'y,-x,z'
'-x,y,z'
'y,x,z'
'x,-y,z'
'-y,-x,z'
loop_
_atom_site_label
_atom_site_fract_x
_atom_site_fract_y
_atom_site_fract_z
_atom_site_occupancy
La1 0.000 0.000 0.000 1
Cr1 0.500 0.500 0.589 1
Sb1 0.000 0.000 0.513 1
Sb2 0.500 0.500 0.150 1

=====

[14]
# PBE LaCr2Sb, optimized geometry
# - ΔE_f (raw): 0.253 eV per atom
data_LaCr2Sb
_chemical_formula_sum 'La1 Cr2 Sb1'
_symmetry_space_group_name_H-M 'P m m m'
_symmetry_Int_Tables_number 47
_cell_length_a 4.623
_cell_length_b 4.645
_cell_length_c 4.654
_cell_angle_alpha 90.00
_cell_angle_beta 90.00
_cell_angle_gamma 90.00
loop_
_symmetry_equiv_pos_as_xyz
'x,y,z'
'-x,-y,-z'
'-x,-y,z'
'x,y,-z'
'x,-y,-z'
'-x,y,z'
'-x,y,-z'
'x,-y,z'
loop_
_atom_site_label
_atom_site_fract_x
_atom_site_fract_y
_atom_site_fract_z
_atom_site_occupancy
La1 0.000 0.000 0.000 1
Cr1 0.500 0.196 0.500 1
Sb1 0.000 0.500 0.500 1

=====

[15]
# PBE LaCrSb2, optimized geometry
# - ΔE_f (raw): 0.046 eV per atom
data_LaCrSb2
_chemical_formula_sum 'La4 Cr4 Sb8'
_symmetry_space_group_name_H-M 'F m -3 m'
_symmetry_Int_Tables_number 225
_symmetry_space_group_name_Hall '-F 4 2 3'
_cell_length_a 7.224
_cell_length_b 7.224
_cell_length_c 7.224
_cell_angle_alpha 90.00
_cell_angle_beta 90.00
_cell_angle_gamma 90.00
loop_
_atom_site_label
_atom_site_fract_x
_atom_site_fract_y
_atom_site_fract_z
_atom_site_occupancy
La1 0.000 0.000 0.000 1
Cr1 0.000 0.000 0.500 1
Sb1 0.250 0.250 0.250 1